## Ce2NdGd (PBE)

Data for a relaxed structure of Ce2NdGd.

The formation energy comes out at 89 kJ/mol of formula units. The calculation puts the size of the total moment at 5.8 μB per formula unit. As for the space group: R-3m. For the electronic total energy, the calculation gives -7.45 eV per atom. The volume comes out at 125 Å³/cell.

Lattice parameters (Å, degrees): 3.4184 3.4184 12.4696 82.12 82.12 60.00
Sites, in units of the cell vectors:
Ce 0.0876 0.0876 0.7373
Gd 0.5000 0.5000 0.5000
Ce 0.9124 0.9124 0.2627
Nd 0.0000 0.0000 0.0000